The following is a meta-GGA SCAN calculation of Re2AsIr at its PBEsol-relaxed geometry, from the Alexandria database.

Output
SG: P4/mmm (123)
Energy of formation in eV per atom: 0.215
DOS(E_F) in states/eV/f.u.: 2.68

Geometry as CIF:
```
data_Re2AsIr
_chemical_formula_sum 'Re2 As1 Ir1'
_symmetry_space_group_name_H-M 'P 1'
_symmetry_Int_Tables_number 1
_symmetry_space_group_name_Hall 'P 1'
_cell_length_a 2.907
_cell_length_b 2.907
_cell_length_c 6.717
_cell_angle_alpha 90.00
_cell_angle_beta 90.00
_cell_angle_gamma 90.00
loop_
_atom_site_label
_atom_site_type_symbol
_atom_site_fract_x
_atom_site_fract_y
_atom_site_fract_z
_atom_site_occupancy
Re1 Re 0.000 0.000 0.772 1
Ir1 Ir 0.500 0.500 0.500 1
Re2 Re 0.000 0.000 0.228 1
As1 As 0.500 0.500 0.000 1
```

***

The following is a meta-GGA SCAN calculation of ReAs2Ir at its PBEsol-relaxed geometry, from the Alexandria database.

Output
SG: R3m (160)
Energy of formation in eV per atom: 0.129
DOS(E_F) in states/eV/f.u.: 3.05

Geometry as CIF:
```
data_ReAs2Ir
_chemical_formula_sum 'Re1 As2 Ir1'
_symmetry_space_group_name_H-M 'P 1'
_symmetry_Int_Tables_number 1
_symmetry_space_group_name_Hall 'P 1'
_cell_length_a 2.863
_cell_length_b 2.863
_cell_length_c 9.803
_cell_angle_alpha 81.60
_cell_angle_beta 81.60
_cell_angle_gamma 60.00
loop_
_atom_site_label
_atom_site_type_symbol
_atom_site_fract_x
_atom_site_fract_y
_atom_site_fract_z
_atom_site_occupancy
As1 As 0.980 0.980 0.060 1
Re1 Re 0.247 0.247 0.260 1
As2 As 0.769 0.769 0.694 1
Ir1 Ir 0.504 0.504 0.487 1
```

***

The following is a meta-GGA SCAN calculation of ReAs2Ir at its PBEsol-relaxed geometry, from the Alexandria database.

Output
SG: Immm (71)
Energy of formation in eV per atom: 0.628
DOS(E_F) in states/eV/f.u.: 2.87

Geometry as CIF:
```
data_ReAs2Ir
_chemical_formula_sum 'Re1 As2 Ir1'
_symmetry_space_group_name_H-M 'P 1'
_symmetry_Int_Tables_number 1
_symmetry_space_group_name_Hall 'P 1'
_cell_length_a 2.925
_cell_length_b 5.055
_cell_length_c 5.091
_cell_angle_alpha 119.77
_cell_angle_beta 106.69
_cell_angle_gamma 90.00
loop_
_atom_site_label
_atom_site_type_symbol
_atom_site_fract_x
_atom_site_fract_y
_atom_site_fract_z
_atom_site_occupancy
Re1 Re 0.500 0.000 0.000 1
As1 As 0.251 0.251 0.502 1
As2 As 0.749 0.749 0.498 1
Ir1 Ir 0.000 0.500 0.000 1
```

***

The following is a meta-GGA SCAN calculation of Re4AsIr at its PBEsol-relaxed geometry, from the Alexandria database.

Output
SG: F-43m (216)
Energy of formation in eV per atom: 0.841
DOS(E_F) in states/eV/f.u.: 5.26

Geometry as CIF:
```
data_Re4AsIr
_chemical_formula_sum 'Re4 As1 Ir1'
_symmetry_space_group_name_H-M 'P 1'
_symmetry_Int_Tables_number 1
_symmetry_space_group_name_Hall 'P 1'
_cell_length_a 5.135
_cell_length_b 5.135
_cell_length_c 5.135
_cell_angle_alpha 60.00
_cell_angle_beta 60.00
_cell_angle_gamma 60.00
loop_
_atom_site_label
_atom_site_type_symbol
_atom_site_fract_x
_atom_site_fract_y
_atom_site_fract_z
_atom_site_occupancy
Re1 Re 0.124 0.625 0.625 1
Re2 Re 0.625 0.625 0.625 1
Ir1 Ir 0.000 0.000 0.000 1
Re3 Re 0.625 0.625 0.124 1
As1 As 0.250 0.250 0.250 1
Re4 Re 0.625 0.124 0.625 1
```